1.
The following is a PBE calculation of a relaxed structure of Na3U3HgSe8, from Alexandria.

Output
The calculation puts the density of states at the Fermi level at 1.09 states/eV/atom.

```
data_Na3U3HgSe8
_chemical_formula_sum 'Na9 U9 Hg3 Se24'
_cell_length_a 8.2554
_cell_length_b 8.2554
_cell_length_c 21.0974
_cell_angle_alpha 90.00
_cell_angle_beta 90.00
_cell_angle_gamma 120.00
_space_group_name_H-M_alt 'R -3 m'
_space_group_IT_number 166
_space_group_name_Hall '-R 3 2"'
loop_
_atom_site_label
_atom_site_fract_x
_atom_site_fract_y
_atom_site_fract_z
Na1 0.0000 0.5000 0.0000
U1 0.0000 0.5000 0.5000
Hg1 0.0000 0.0000 0.5000
Se1 0.0000 0.0000 0.2447
Se2 0.0128 0.5064 0.7564
```

***

2.
The following is a PBE calculation of a relaxed structure of Na4U3HgSe8, from Alexandria.

Output
The calculation puts the density of states at the Fermi level at 1.04 states/eV/atom.

```
data_Na4U3HgSe8
_chemical_formula_sum 'Na12 U9 Hg3 Se24'
_cell_length_a 8.4356
_cell_length_b 8.4356
_cell_length_c 20.8199
_cell_angle_alpha 90.00
_cell_angle_beta 90.00
_cell_angle_gamma 120.00
_space_group_name_H-M_alt 'R -3 m'
_space_group_IT_number 166
_space_group_name_Hall '-R 3 2"'
loop_
_atom_site_label
_atom_site_fract_x
_atom_site_fract_y
_atom_site_fract_z
Na1 0.0000 0.0000 0.0000
Na2 0.0000 0.5000 0.0000
U1 0.0000 0.5000 0.5000
Hg1 0.0000 0.0000 0.5000
Se1 0.0000 0.0000 0.2442
Se2 0.0135 0.5067 0.7568
```

***

3.
The following is a PBE calculation of a relaxed structure of Na2ZrHgSe4, from Alexandria.

Output
The calculation puts the density of states at the Fermi level at 0.01 states/eV/atom.

```
data_Na2ZrHgSe4
_chemical_formula_sum 'Na2 Zr1 Hg1 Se4'
_cell_length_a 7.382
_cell_length_b 3.987
_cell_length_c 7.385
_cell_angle_alpha 90.00
_cell_angle_beta 111.68
_cell_angle_gamma 90.00
_space_group_name_H-M_alt 'P 1 2/m 1'
_space_group_IT_number 10
loop_
_space_group_symop_operation_xyz
'x,y,z'
'-x,-y,-z'
'-x,y,-z'
'x,-y,z'
loop_
_atom_site_label
_atom_site_fract_x
_atom_site_fract_y
_atom_site_fract_z
Na1 0.000 0.000 0.000
Na2 0.500 0.500 0.000
Zr1 0.000 0.500 0.500
Hg1 0.500 0.000 0.500
Se1 0.213 0.000 0.737
Se2 0.245 0.500 0.294
```

***

4.
The following is a PBE calculation of a relaxed structure of NaSi3Hg, from Alexandria.

Output
The calculation puts the density of states at the Fermi level at 1.01 states/eV/atom. Its excess energy over the best structure of this formula in the dataset is 369 meV/atom.

```
data_NaSi3Hg
_chemical_formula_sum 'Na1 Si3 Hg1'
_cell_length_a 5.014
_cell_length_b 5.014
_cell_length_c 5.014
_cell_angle_alpha 90.00
_cell_angle_beta 90.00
_cell_angle_gamma 90.00
_space_group_name_H-M_alt 'P m -3 m'
_space_group_IT_number 221
_space_group_name_Hall '-P 4 2 3'
loop_
_atom_site_label
_atom_site_fract_x
_atom_site_fract_y
_atom_site_fract_z
Na1 0.000 0.000 0.000
Si1 0.000 0.000 0.500
Hg1 0.500 0.500 0.500
```

***

5.
The following is a PBE calculation of a relaxed structure of NaSi3Hg, from Alexandria.

Output
The calculation puts the density of states at the Fermi level at 0.59 states/eV/atom. Its excess energy over the best structure of this formula in the dataset is 0 meV/atom.

```
data_NaSi3Hg
_chemical_formula_sum 'Na1 Si3 Hg1'
_cell_length_a 5.181
_cell_length_b 5.181
_cell_length_c 5.181
_cell_angle_alpha 90.00
_cell_angle_beta 90.00
_cell_angle_gamma 90.00
_space_group_name_H-M_alt 'P m -3 m'
_space_group_IT_number 221
_space_group_name_Hall '-P 4 2 3'
loop_
_atom_site_label
_atom_site_fract_x
_atom_site_fract_y
_atom_site_fract_z
Na1 0.000 0.000 0.000
Si1 0.000 0.500 0.500
Hg1 0.500 0.500 0.500
```

***

6.
The following is a PBE calculation of a relaxed structure of NaSiHg3, from Alexandria.

Output
The calculation puts the density of states at the Fermi level at 0.70 states/eV/atom. Its excess energy over the best structure of this formula in the dataset is 0 meV/atom.

```
data_NaSiHg3
_chemical_formula_sum 'Na1 Si1 Hg3'
_cell_length_a 5.243
_cell_length_b 5.243
_cell_length_c 5.243
_cell_angle_alpha 90.00
_cell_angle_beta 90.00
_cell_angle_gamma 90.00
_space_group_name_H-M_alt 'P m -3 m'
_space_group_IT_number 221
_space_group_name_Hall '-P 4 2 3'
loop_
_atom_site_label
_atom_site_fract_x
_atom_site_fract_y
_atom_site_fract_z
Na1 0.000 0.000 0.000
Si1 0.500 0.500 0.500
Hg1 0.000 0.500 0.500
```

***

7.
The following is a PBE calculation of a relaxed structure of Na2SiHg2, from Alexandria.

Output
The calculation puts the density of states at the Fermi level at 0.47 states/eV/atom.

```
data_Na2SiHg2
_chemical_formula_sum 'Na4 Si2 Hg4'
_cell_length_a 7.038
_cell_length_b 7.038
_cell_length_c 5.079
_cell_angle_alpha 90.00
_cell_angle_beta 90.00
_cell_angle_gamma 90.00
_space_group_name_H-M_alt 'P 4/m b m'
_space_group_IT_number 127
_space_group_name_Hall '-P 4 2ab'
loop_
_atom_site_label
_atom_site_fract_x
_atom_site_fract_y
_atom_site_fract_z
Na1 0.174 0.326 0.000
Si1 0.000 0.000 0.500
Hg1 0.149 0.649 0.500
```

***

8.
The following is a PBE calculation of a relaxed structure of NaSiHg3, from Alexandria.

Output
The calculation puts the density of states at the Fermi level at 1.00 states/eV/atom. Its excess energy over the best structure of this formula in the dataset is 627 meV/atom.

```
data_NaSiHg3
_chemical_formula_sum 'Na1 Si1 Hg3'
_cell_length_a 5.398
_cell_length_b 5.398
_cell_length_c 5.398
_cell_angle_alpha 90.00
_cell_angle_beta 90.00
_cell_angle_gamma 90.00
_space_group_name_H-M_alt 'P m -3 m'
_space_group_IT_number 221
_space_group_name_Hall '-P 4 2 3'
loop_
_atom_site_label
_atom_site_fract_x
_atom_site_fract_y
_atom_site_fract_z
Na1 0.000 0.000 0.000
Si1 0.500 0.500 0.500
Hg1 0.000 0.000 0.500
```

***

9.
The following is a PBE calculation of a relaxed structure of NaSiHg2Te4, from Alexandria.

Output
The calculation puts the density of states at the Fermi level at 0.38 states/eV/atom.

```
data_NaSiHg2Te4
_chemical_formula_sum 'Na4 Si4 Hg8 Te16'
_cell_length_a 9.883
_cell_length_b 9.889
_cell_length_c 12.203
_cell_angle_alpha 90.00
_cell_angle_beta 90.00
_cell_angle_gamma 90.00
_space_group_name_H-M_alt 'F m m 2'
_space_group_IT_number 42
_space_group_name_Hall 'F 2 -2'
loop_
_atom_site_label
_atom_site_fract_x
_atom_site_fract_y
_atom_site_fract_z
Na1 0.000 0.000 0.000
Si1 0.000 0.000 0.499
Hg1 0.250 0.250 0.250
Te1 0.000 0.212 0.619
Te2 0.212 0.000 0.380
```

***

10.
The following is a PBE calculation of a relaxed structure of NaZnSi2Hg, from Alexandria.

Output
The calculation puts the density of states at the Fermi level at 1.22 states/eV/atom.

```
data_NaZnSi2Hg
_chemical_formula_sum 'Na1 Zn1 Si2 Hg1'
_cell_length_a 5.034
_cell_length_b 5.034
_cell_length_c 5.532
_cell_angle_alpha 90.00
_cell_angle_beta 90.00
_cell_angle_gamma 90.00
_space_group_name_H-M_alt 'P 4/m m m'
_space_group_IT_number 123
_space_group_name_Hall '-P 4 2'
loop_
_atom_site_label
_atom_site_fract_x
_atom_site_fract_y
_atom_site_fract_z
Na1 0.000 0.000 0.000
Zn1 0.500 0.500 0.000
Si1 0.000 0.500 0.500
Hg1 0.000 0.000 0.500
```

***

11.
The following is a PBE calculation of a relaxed structure of NaSm5Hg3, from Alexandria.

Output
The calculation puts the density of states at the Fermi level at 1.23 states/eV/atom.

```
data_NaSm5Hg3
_chemical_formula_sum 'Na2 Sm10 Hg6'
_cell_length_a 9.3287
_cell_length_b 9.3287
_cell_length_c 6.8611
_cell_angle_alpha 90.00
_cell_angle_beta 90.00
_cell_angle_gamma 120.00
_space_group_name_H-M_alt 'P 63/m c m'
_space_group_IT_number 193
_space_group_name_Hall '-P 6c 2'
loop_
_atom_site_label
_atom_site_fract_x
_atom_site_fract_y
_atom_site_fract_z
Na1 0.0000 0.0000 0.0000
Sm1 0.0000 0.3183 0.2500
Sm2 0.3333 0.6667 0.0000
Hg1 0.0000 0.3492 0.7500
```

***

12.
The following is a PBE calculation of a relaxed structure of NaSmHg, from Alexandria.

Output
The calculation puts the density of states at the Fermi level at 0.95 states/eV/atom. Its excess energy over the best structure of this formula in the dataset is 37 meV/atom.

```
data_NaSmHg
_chemical_formula_sum 'Na1 Sm1 Hg1'
_cell_length_a 5.2424
_cell_length_b 5.2424
_cell_length_c 3.3981
_cell_angle_alpha 90.00
_cell_angle_beta 90.00
_cell_angle_gamma 120.00
_space_group_name_H-M_alt 'P 3 m 1'
_space_group_IT_number 156
loop_
_space_group_symop_operation_xyz
'x,y,z'
'-y,x-y,z'
'-x+y,-x,z'
'-y,-x,z'
'-x+y,y,z'
'x,x-y,z'
loop_
_atom_site_label
_atom_site_fract_x
_atom_site_fract_y
_atom_site_fract_z
Na1 0.0000 0.0000 0.0000
Sm1 0.6667 0.3333 0.5048
Hg1 0.3333 0.6667 0.0108
```

***

Number 1: electronic total energy -5.43 eV per atom. Number 2: electronic total energy -5.26 eV per atom. Number 3: electronic total energy -4.13 eV per atom. Number 4: electronic total energy -2.15 eV per atom. Number 5: electronic total energy -2.52 eV per atom. Number 6: electronic total energy -1.41 eV per atom. Number 7: electronic total energy -1.72 eV per atom. Number 8: electronic total energy -0.78 eV per atom. Number 9: electronic total energy -2.69 eV per atom. Number 10: electronic total energy -1.86 eV per atom. Number 11: electronic total energy -3.12 eV per atom. Number 12: electronic total energy -2.21 eV per atom.